Entry 1:
First-principles (GGA-PBE) data for Tb5Pr2Sc2 after structural relaxation, as listed in Alexandria via LeMat-Bulk.

Summary:
- Raw total energy: -44.99 eV/f.u.
- Crystal system: monoclinic
- Energy relative to the elements: 0.4 eV per formula unit
- Total magnetization: 0.00 μB/f.u.
- Energy above the lowest structure with this stoichiometry: 0.0000 eV/atom

abc: 7.877 7.877 7.923
angles: 107.36 107.36 36.80
Atoms (fractional coordinates):
Tb: 0.000 0.000 0.000
Tb: 0.220 0.220 0.334
Tb: 0.335 0.335 0.997
Tb: 0.665 0.665 0.003
Tb: 0.780 0.780 0.666
Pr: 0.108 0.108 0.665
Pr: 0.892 0.892 0.335
Sc: 0.444 0.444 0.664
Sc: 0.556 0.556 0.336

Entry 2:
First-principles (GGA-PBE) data for PuTh2Zr after structural relaxation, as listed in Alexandria via LeMat-Bulk.

Summary:
- Raw total energy: -37.34 eV/f.u.
- Crystal system: cubic
- Energy relative to the elements: 0.4 eV per formula unit
- Total magnetization: 5.64 μB/f.u.
- Energy above the lowest structure with this stoichiometry: 0.0000 eV/atom

abc: 5.388 5.388 5.388
angles: 60.00 60.00 60.00
Atoms (fractional coordinates):
Pu: 0.000 0.000 0.000
Th: 0.250 0.250 0.250
Th: 0.750 0.750 0.750
Zr: 0.500 0.500 0.500

Entry 3:
First-principles (GGA-PBE) data for Sm8P3IrSe4 after structural relaxation, as listed in Alexandria via LeMat-Bulk.

Summary:
- Raw total energy: -102.72 eV/f.u.
- Crystal system: trigonal
- Total magnetization: 0.00 μB/f.u.
- Raw formation energy: -37.4 kcal/mol of atoms

abc: 8.365 8.365 8.365
angles: 59.30 59.30 59.30
Atoms (fractional coordinates):
Sm: 0.244 0.244 0.244
Sm: 0.246 0.742 0.742
Sm: 0.258 0.258 0.754
Sm: 0.258 0.754 0.258
Sm: 0.742 0.246 0.742
Sm: 0.742 0.742 0.246
Sm: 0.754 0.258 0.258
Sm: 0.756 0.756 0.756
P: 0.000 0.000 0.500
P: 0.000 0.500 0.000
P: 0.500 0.000 0.000
Ir: 0.500 0.500 0.500
Se: 0.000 0.000 0.000
Se: 0.000 0.500 0.500
Se: 0.500 0.000 0.500
Se: 0.500 0.500 0.000

Entry 4:
First-principles (GGA-PBE) data for Ac2TePt after structural relaxation, as listed in Alexandria via LeMat-Bulk.

Summary:
- Raw total energy: -19.15 eV/f.u.
- Crystal system: trigonal
- Total magnetization: 0.00 μB/f.u.
- Raw formation energy: -10.1 kcal/mol of atoms
- Energy above the lowest structure with this stoichiometry: 0.9127 eV/atom

abc: 10.141 10.141 10.141
angles: 25.03 25.03 25.03
Atoms (fractional coordinates):
Ac: 0.093 0.093 0.093
Ac: 0.907 0.907 0.907
Te: 0.500 0.500 0.500
Pt: 0.000 0.000 0.000

Entry 5:
First-principles (GGA-PBE) data for InSi2Se after structural relaxation, as listed in Alexandria via LeMat-Bulk.

Summary:
- Raw total energy: -15.19 eV/f.u.
- Crystal system: tetragonal
- Total magnetization: 0.00 μB/f.u.
- Raw formation energy: 10.9 kcal/mol of atoms

abc: 6.005 6.005 6.005
angles: 141.77 141.77 55.17
Atoms (fractional coordinates):
In: 0.000 0.000 0.000
Si: 0.250 0.750 0.500
Si: 0.750 0.250 0.500
Se: 0.500 0.500 0.000

Entry 6:
First-principles (GGA-PBE) data for ZrAg3 after structural relaxation, as listed in Alexandria via LeMat-Bulk.

Summary:
- Raw total energy: -17.08 eV/f.u.
- Crystal system: orthorhombic
- Energy relative to the elements: 0.0 eV per formula unit
- Total magnetization: 0.00 μB/f.u.

abc: 2.997 3.893 6.538
angles: 90.00 90.00 90.00
Atoms (fractional coordinates):
Zr: 0.000 0.000 0.000
Ag: 0.000 0.000 0.500
Ag: 0.500 0.500 0.264
Ag: 0.500 0.500 0.736

Entry 7:
First-principles (GGA-PBE) data for Ca2Ge3Ir2 after structural relaxation, as listed in Alexandria via LeMat-Bulk.

Summary:
- Raw total energy: -39.55 eV/f.u.
- Crystal system: monoclinic
- Energy relative to the elements: -4.0 eV per formula unit
- Total magnetization: 0.00 μB/f.u.

abc: 5.681 5.681 7.127
angles: 115.09 115.09 42.55
Atoms (fractional coordinates):
Ca: 0.149 0.149 0.270
Ca: 0.851 0.851 0.730
Ge: 0.362 0.362 0.051
Ge: 0.500 0.500 0.500
Ge: 0.638 0.638 0.949
Ir: 0.123 0.123 0.714
Ir: 0.877 0.877 0.286

Entry 8:
First-principles (GGA-PBE) data for Cr2AuI after structural relaxation, as listed in Alexandria via LeMat-Bulk.

Summary:
- Raw total energy: -21.17 eV/f.u.
- Crystal system: tetragonal
- Total magnetization: 9.66 μB/f.u.
- Raw formation energy: 16.8 kcal/mol of atoms
- Energy above the lowest structure with this stoichiometry: 0.0000 eV/atom

abc: 8.618 8.618 8.618
angles: 142.58 142.58 53.95
Atoms (fractional coordinates):
Cr: 0.095 0.625 0.970
Cr: 0.375 0.345 0.470
Cr: 0.655 0.125 0.030
Cr: 0.875 0.905 0.530
Au: 0.000 0.000 0.000
Au: 0.750 0.250 0.500
I: 0.250 0.750 0.500
I: 0.500 0.500 0.000